DFT (PBE) results for RbRhO2 after structural relaxation.

Cell lengths 3.3041, 3.3041, 6.3803 Å; angles 90.00, 90.00, 120.00 degrees
Sites, in units of the cell vectors:
Rh  0.0000  0.0000  0.0004
O  0.3333  0.6667  0.8586
O  0.6667  0.3333  0.1490
Rb  0.3333  0.6667  0.4470

Values from the calculation:
total magnetic moment: 0.0 μB/cell
DOS(E_F): 0.000 states/eV per atom
raw formation energy: -0.845 eV per atom


DFT (PBE) results for Rb3RhO6 after structural relaxation.

Cell lengths 6.6194, 6.6194, 6.6194 Å; angles 60.00, 60.00, 60.00 degrees
Sites, in units of the cell vectors:
O  0.7950  0.2050  0.7950
O  0.2050  0.7950  0.2050
O  0.7950  0.2050  0.2050
O  0.2050  0.2050  0.7950
O  0.2050  0.7950  0.7950
O  0.7950  0.7950  0.2050
Rb  0.2500  0.2500  0.2500
Rb  0.5000  0.5000  0.5000
Rb  0.7500  0.7500  0.7500
Rh  0.0000  0.0000  0.0000

Values from the calculation:
total magnetic moment: 5.8 μB/cell
DOS(E_F): 0.073 states/eV per atom
raw formation energy: -0.710 eV per atom


DFT (PBE) results for RbRhO2 after structural relaxation.

Cell lengths 6.8427, 6.2268, 6.2268 Å; angles 76.06, 117.85, 62.15 degrees
Sites, in units of the cell vectors:
O  0.1608  0.1065  0.0040
O  0.8392  0.8935  0.9960
O  0.6608  0.4960  0.3935
O  0.3392  0.5040  0.6065
Rh  0.7500  0.2584  0.7584
Rh  0.2500  0.7416  0.2416
Rb  0.2500  0.0955  0.5955
Rb  0.7500  0.9045  0.4045

Values from the calculation:
total magnetic moment: 0.0 μB/cell
DOS(E_F): 0.000 states/eV per atom
raw formation energy: -0.813 eV per atom


DFT (PBE) results for RbRhO2 after structural relaxation.

Cell lengths 6.0175, 4.1472, 10.3544 Å; angles 90.00, 90.00, 90.00 degrees
Sites, in units of the cell vectors:
Rb  0.5696  0.7500  0.6329
Rb  0.0696  0.7500  0.8671
Rb  0.4304  0.2500  0.3671
Rb  0.9304  0.2500  0.1329
Rh  0.9547  0.7500  0.3827
Rh  0.5453  0.2500  0.8827
Rh  0.0453  0.2500  0.6173
Rh  0.4547  0.7500  0.1173
O  0.4454  0.2500  0.0700
O  0.1862  0.7500  0.2336
O  0.6862  0.7500  0.2664
O  0.5546  0.7500  0.9300
O  0.8138  0.2500  0.7664
O  0.0546  0.7500  0.5700
O  0.3138  0.2500  0.7336
O  0.9454  0.2500  0.4300

Values from the calculation:
total magnetic moment: 0.0 μB/cell
DOS(E_F): 0.729 states/eV per atom
raw formation energy: -0.763 eV per atom


DFT (PBE) results for RbRhO2 after structural relaxation.

Cell lengths 3.7071, 3.7071, 4.6263 Å; angles 90.00, 90.00, 90.00 degrees
Sites, in units of the cell vectors:
Rh  0.5000  0.5000  0.0000
O  0.5000  0.5000  0.5000
O  0.0000  0.0000  0.0000
Rb  0.0000  0.0000  0.5000

Values from the calculation:
total magnetic moment: 3.0 μB/cell
DOS(E_F): 0.475 states/eV per atom
raw formation energy: 0.170 eV per atom


DFT (PBE) results for RbRhO2 after structural relaxation.

Cell lengths 6.2576, 5.9552, 6.4255 Å; angles 90.01, 58.38, 61.59 degrees
Sites, in units of the cell vectors:
O  0.7305  0.1133  0.1786
O  0.1922  0.8359  0.2364
O  0.1922  0.4329  0.2365
O  0.7304  0.6172  0.1789
Rb  0.1498  0.1557  0.5901
Rb  0.5988  0.9311  0.8564
Rh  0.9385  0.7612  0.1992
Rh  0.4923  0.4843  0.2107

Values from the calculation:
total magnetic moment: 0.0 μB/cell
DOS(E_F): 0.574 states/eV per atom
raw formation energy: -0.899 eV per atom


DFT (PBE) results for RbRhO2 after structural relaxation.

Cell lengths 6.4050, 5.7334, 4.4570 Å; angles 90.00, 89.90, 116.60 degrees
Sites, in units of the cell vectors:
O  0.7531  0.3570  0.2108
O  0.7530  0.8570  0.2108
O  0.2531  0.0660  0.2111
O  0.2530  0.6481  0.2110
Rb  0.5282  0.4946  0.7117
Rb  0.9782  0.2196  0.7099
Rh  0.9825  0.7217  0.2108
Rh  0.5236  0.9923  0.2109

Values from the calculation:
total magnetic moment: 0.0 μB/cell
DOS(E_F): 0.662 states/eV per atom
raw formation energy: -0.916 eV per atom


DFT (PBE) results for Rb5Rh2O6 after structural relaxation.

Cell lengths 6.8327, 6.8327, 13.8728 Å; angles 92.88, 92.88, 65.19 degrees
Sites, in units of the cell vectors:
O  0.5070  0.8135  0.5102
O  0.1650  0.9636  0.6359
O  0.8350  0.0364  0.3641
O  0.6186  0.8184  0.8663
O  0.3814  0.1816  0.1337
O  0.1816  0.3814  0.6337
O  0.1865  0.4930  0.9898
O  0.4930  0.1865  0.4898
O  0.0364  0.8350  0.8641
O  0.9636  0.1650  0.1359
O  0.8135  0.5070  0.0102
O  0.8184  0.6186  0.3663
Rh  0.0985  0.3194  0.0774
Rh  0.6806  0.9015  0.4226
Rh  0.9015  0.6806  0.9226
Rh  0.3194  0.0985  0.5774
Rb  0.8248  0.8373  0.6833
Rb  0.7973  0.3549  0.5200
Rb  0.3943  0.6057  0.7500
Rb  0.6451  0.2027  0.9800
Rb  0.1627  0.1752  0.8167
Rb  0.6057  0.3943  0.2500
Rb  0.1752  0.1627  0.3167
Rb  0.3549  0.7973  0.0200
Rb  0.2027  0.6451  0.4800
Rb  0.8373  0.8248  0.1833

Values from the calculation:
total magnetic moment: 9.8 μB/cell
DOS(E_F): 0.326 states/eV per atom
raw formation energy: -1.067 eV per atom


DFT (PBE) results for Rb4Rh2O5 after structural relaxation.

Cell lengths 6.2943, 6.2943, 7.9703 Å; angles 79.22, 79.22, 66.10 degrees
Sites, in units of the cell vectors:
O  0.6538  0.2001  0.7930
O  0.4008  0.4008  0.4427
O  0.8726  0.3532  0.2259
O  0.2001  0.6538  0.7930
O  0.3532  0.8726  0.2259
Rh  0.4150  0.4150  0.6693
Rh  0.5726  0.5726  0.2794
Rb  0.7022  0.7022  0.8015
Rb  0.0915  0.0915  0.5321
Rb  0.3170  0.3170  0.1059
Rb  0.9642  0.9642  0.0602

Values from the calculation:
total magnetic moment: 2.0 μB/cell
DOS(E_F): 0.015 states/eV per atom
raw formation energy: -0.951 eV per atom


DFT (PBE) results for RbRhO2 after structural relaxation.

Cell lengths 5.4359, 5.4359, 6.1382 Å; angles 63.72, 63.72, 90.00 degrees
Sites, in units of the cell vectors:
Rh  0.7500  0.2500  0.5000
Rh  0.0000  0.0000  0.0000
O  0.1954  0.1954  0.6092
O  0.5546  0.0546  0.8908
O  0.8046  0.8046  0.3908
O  0.9454  0.4454  0.1092
Rb  0.2500  0.7500  0.5000
Rb  0.5000  0.5000  0.0000

Values from the calculation:
total magnetic moment: 4.0 μB/cell
DOS(E_F): 0.330 states/eV per atom
raw formation energy: -0.520 eV per atom


DFT (PBE) results for Rb2RhO after structural relaxation.

Cell lengths 12.0159, 12.0159, 8.7108 Å; angles 46.39, 46.39, 90.00 degrees
Sites, in units of the cell vectors:
Rb  0.3621  0.6250  0.2500
Rb  0.3750  0.6121  0.7500
Rb  0.3879  0.1250  0.2500
Rb  0.8750  0.6379  0.7500
Rh  0.7500  0.2500  0.5000
Rh  0.0000  0.0000  0.0000
O  0.2500  0.7500  0.5000
O  0.5000  0.5000  0.0000

Values from the calculation:
total magnetic moment: 0.5 μB/cell
DOS(E_F): 0.751 states/eV per atom
raw formation energy: -0.487 eV per atom


DFT (PBE) results for RbRhO2 after structural relaxation.

Cell lengths 4.2658, 4.2658, 4.2658 Å; angles 60.00, 60.00, 60.00 degrees
Sites, in units of the cell vectors:
Rb  0.0000  0.0000  0.0000
O  0.7500  0.7500  0.7500
O  0.2500  0.2500  0.2500
Rh  0.5000  0.5000  0.5000

Values from the calculation:
total magnetic moment: 0.0 μB/cell
DOS(E_F): 0.939 states/eV per atom
raw formation energy: 0.321 eV per atom